Entry 1:
This record from Alexandria via LeMat-Bulk describes crystalline La5As4I at its relaxed geometry. The functional is PBE-GGA.

Properties
Space group: C2/m (12)
Calculated volume: 305 Å³/cell
ΔE_f (raw): -1.53 eV/atom
Density of states at the Fermi level: 0.4093 states/eV per atom

Unit cell a=4.392 b=7.665 c=9.886 alpha=75.58 beta=77.17 gamma=73.35
Positions (direct):
La 0.209 0.902 0.681
La 0.791 0.098 0.319
La 0.388 0.339 0.885
La 0.000 0.500 0.500
La 0.612 0.661 0.115
As 0.595 0.203 0.607
As 0.207 0.385 0.201
As 0.793 0.615 0.799
As 0.405 0.797 0.393
I 0.000 0.000 0.000

***

Entry 2:
This record from Alexandria via LeMat-Bulk describes crystalline La2AsI at its relaxed geometry. The functional is PBE-GGA.

Properties
Space group: Fm-3m (225)
Calculated volume: 113 Å³/cell
ΔE_f (raw): -1.14 eV/atom
Density of states at the Fermi level: 0.7771 states/eV per atom

Unit cell a=5.432 b=5.432 c=5.432 alpha=60.00 beta=60.00 gamma=60.00
Last column: magnetic moment on the atom in μB.
Positions (direct):
I 0.500 0.500 0.500  -0.01
As 0.000 0.000 0.000  -0.01
La 0.250 0.250 0.250  0.20
La 0.750 0.750 0.750  0.20

***

> calculated volume of number 1 (La5As4I)?

305 Å³/cell